First-principles (PBE) data for a relaxed La6OsRhPb2 crystal, as listed in Alexandria.

Values from the calculation:
For the formation enthalpy at 0 K, the calculation gives -0.430 eV per atom.

Lattice parameters (Å, degrees): 7.8355 7.8355 7.8302 119.87 119.87 90.14
Sites, in units of the cell vectors:
La  0.2484  0.7516  0.0000
La  0.2493  0.2493  0.4978
La  0.2486  0.2486  0.9994
La  0.7514  0.7514  0.0006
La  0.7507  0.7507  0.5022
La  0.7516  0.2484  0.0000
Os  0.0000  0.0000  0.0000
Rh  0.5000  0.5000  0.0000
Pb  0.2498  0.7502  0.5000
Pb  0.7502  0.2498  0.5000